(1)
Computed, not measured: a relaxed La3Se2O2 crystal at the PBE level of DFT.

Formation energy without anion corrections: -2.72 eV per atom
DOS(E_F): 0.4273 states/eV per atom
Raw total energy: -7.242 eV per atom
Crystal system: monoclinic
Size of the total moment: 0.60 μB/cell
Polymorph energy (0 for the lowest one): 0 meV/atom

Lattice parameters (Å, degrees): 8.1647 8.1647 11.9275 120.39 120.39 28.72
With the nearest neighbours (Å) after each atom.
Fractional coordinates of all 14 atoms:
La 0.0946 0.0946 0.1694  1 O 2.32
La 0.1295 0.1295 0.7806  3 O 2.35-2.44
La 0.3995 0.3995 0.5395  4 O 2.40-2.48
La 0.6005 0.6005 0.4605  4 O 2.40-2.48
La 0.8705 0.8705 0.2194  3 O 2.35-2.44
La 0.9054 0.9054 0.8306  1 O 2.32
Se 0.2564 0.2564 0.6510  6 La 3.00-3.17
Se 0.3938 0.3938 0.0304  6 La 3.19-3.38
Se 0.6062 0.6062 0.9696  6 La 3.19-3.38
Se 0.7436 0.7436 0.3490  6 La 3.00-3.17
O 0.0442 0.0442 0.3205  4 La 2.32-2.48
O 0.4235 0.4235 0.3537  4 La 2.40-2.44
O 0.5765 0.5765 0.6463  4 La 2.40-2.44
O 0.9558 0.9558 0.6795  4 La 2.32-2.48



(2)
Computed, not measured: a relaxed LaSe2O8 crystal at the PBE level of DFT.

Formation energy without anion corrections: -1.12 eV per atom
DOS(E_F): 0.1246 states/eV per atom
Raw total energy: -5.811 eV per atom
Crystal system: monoclinic
Size of the total moment: 1.04 μB/cell

Lattice parameters (Å, degrees): 5.8885 5.8885 6.3215 111.01 111.01 50.24
With the nearest neighbours (Å) after each atom.
Fractional coordinates of all 11 atoms:
La 0.0000 0.0000 0.0000  6 O 2.47-2.66
Se 0.2069 0.2069 0.6857  4 O 1.66-1.69
Se 0.7931 0.7931 0.3143  4 O 1.66-1.69
O 0.1184 0.6253 0.2300  1 Se 1.69
O 0.1681 0.1681 0.4036  1 Se 1.66
O 0.3747 0.8816 0.7700  1 Se 1.69
O 0.3760 0.3760 0.8308  1 Se 1.67
O 0.6240 0.6240 0.1692  1 Se 1.67
O 0.6253 0.1184 0.2300  1 Se 1.69
O 0.8319 0.8319 0.5964  1 Se 1.66
O 0.8816 0.3747 0.7700  1 Se 1.69



(3)
Computed, not measured: a relaxed La3SeO3 crystal at the PBE level of DFT.

Formation energy without anion corrections: -3.03 eV per atom
DOS(E_F): 0.3374 states/eV per atom
Raw total energy: -7.761 eV per atom
Crystal system: trigonal
Size of the total moment: 0.00 μB/cell

Lattice parameters (Å, degrees): 8.2241 8.2241 8.2241 50.88 50.88 50.88
With the nearest neighbours (Å) after each atom.
Fractional coordinates of all 14 atoms:
La 0.0729 0.4044 0.7354  4 O 2.42-2.45
La 0.2646 0.9271 0.5956  4 O 2.42-2.45
La 0.4044 0.7354 0.0729  4 O 2.42-2.45
La 0.5956 0.2646 0.9271  4 O 2.42-2.45
La 0.7354 0.0729 0.4044  4 O 2.42-2.45
La 0.9271 0.5956 0.2646  4 O 2.42-2.45
Se 0.1667 0.1667 0.1667  6 La 3.13
Se 0.8333 0.8333 0.8333  6 La 3.13
O 0.0423 0.7085 0.3752  4 La 2.42-2.45
O 0.2915 0.6248 0.9577  4 La 2.42-2.45
O 0.3752 0.0423 0.7085  4 La 2.42-2.45
O 0.6248 0.9577 0.2915  4 La 2.42-2.45
O 0.7085 0.3752 0.0423  4 La 2.42-2.45
O 0.9577 0.2915 0.6248  4 La 2.42-2.45



(4)
Computed, not measured: a relaxed LaSeO4 crystal at the PBE level of DFT.

Formation energy without anion corrections: -1.81 eV per atom
DOS(E_F): 0.2047 states/eV per atom
Raw total energy: -6.518 eV per atom
Crystal system: tetragonal
Size of the total moment: 0.00 μB/cell

Lattice parameters (Å, degrees): 6.3438 6.3438 6.3438 106.35 106.35 115.92
With the nearest neighbours (Å) after each atom.
Fractional coordinates of all 12 atoms:
La 0.3750 0.6250 0.7500  8 O 2.50-2.54
La 0.6250 0.3750 0.2500  8 O 2.50-2.54
Se 0.1250 0.8750 0.2500  4 O 1.81
Se 0.8750 0.1250 0.7500  4 O 1.81
O 0.1224 0.6955 0.4269  1 Se 1.81
O 0.2315 0.3045 0.9269  1 Se 1.81
O 0.3045 0.2315 0.4269  1 Se 1.81
O 0.3045 0.8776 0.0731  1 Se 1.81
O 0.6955 0.1224 0.9269  1 Se 1.81
O 0.6955 0.7685 0.5731  1 Se 1.81
O 0.7685 0.6955 0.0731  1 Se 1.81
O 0.8776 0.3045 0.5731  1 Se 1.81



(5)
Computed, not measured: a relaxed La2Se2O crystal at the PBE level of DFT.

Formation energy without anion corrections: -2.59 eV per atom
DOS(E_F): 0.0000 states/eV per atom
Raw total energy: -6.942 eV per atom
Crystal system: orthorhombic
Size of the total moment: 0.00 μB/cell
Polymorph energy (0 for the lowest one): 0 meV/atom

Lattice parameters (Å, degrees): 16.6430 4.1875 7.3787 90.00 90.00 90.00
With the nearest neighbours (Å) after each atom.
Fractional coordinates of all 20 atoms:
La 0.0369 0.2500 0.1997  3 O 2.43-2.45
La 0.1663 0.2500 0.7588  1 O 2.37
La 0.3337 0.7500 0.2588  1 O 2.37
La 0.4631 0.7500 0.6997  3 O 2.43-2.45
La 0.5369 0.2500 0.3003  3 O 2.43-2.45
La 0.6663 0.2500 0.7412  1 O 2.37
La 0.8337 0.7500 0.2412  1 O 2.37
La 0.9631 0.7500 0.8003  3 O 2.43-2.45
Se 0.1031 0.7500 0.5097  5 La 2.98-3.29
Se 0.1746 0.7500 0.0486  5 La 3.00-3.30
Se 0.3254 0.2500 0.5486  5 La 3.00-3.30
Se 0.3969 0.2500 0.0097  5 La 2.98-3.29
Se 0.6031 0.7500 0.9903  5 La 2.98-3.29
Se 0.6746 0.7500 0.4514  5 La 3.00-3.30
Se 0.8254 0.2500 0.9514  5 La 3.00-3.30
Se 0.8969 0.2500 0.4903  5 La 2.98-3.29
O 0.0326 0.2500 0.8709  4 La 2.37-2.45
O 0.4674 0.7500 0.3709  4 La 2.37-2.45
O 0.5326 0.2500 0.6291  4 La 2.37-2.45
O 0.9674 0.7500 0.1291  4 La 2.37-2.45



(6)
Computed, not measured: a relaxed LaSeO3 crystal at the PBE level of DFT.

Formation energy without anion corrections: -1.50 eV per atom
DOS(E_F): 0.5082 states/eV per atom
Raw total energy: -6.157 eV per atom
Crystal system: cubic
Size of the total moment: 0.00 μB/cell

Lattice parameters (Å, degrees): 4.0850 4.0850 4.0850 90.00 90.00 90.00
With the nearest neighbours (Å) after each atom.
Fractional coordinates of all 5 atoms:
La 0.0000 0.0000 0.0000  12 O 2.89
Se 0.5000 0.5000 0.5000  6 O 2.04
O 0.0000 0.5000 0.5000  2 Se 2.04
O 0.5000 0.0000 0.5000  2 Se 2.04
O 0.5000 0.5000 0.0000  2 Se 2.04



(7)
Computed, not measured: a relaxed La2SeO crystal at the PBE level of DFT.

Formation energy without anion corrections: -2.07 eV per atom
DOS(E_F): 0.4374 states/eV per atom
Raw total energy: -6.643 eV per atom
Crystal system: tetragonal
Size of the total moment: 7.63 μB/cell
Polymorph energy (0 for the lowest one): 278 meV/atom

Lattice parameters (Å, degrees): 6.2836 6.2836 11.9339 90.00 90.00 90.00
With the nearest neighbours (Å) after each atom.
Fractional coordinates of all 16 atoms:
La 0.1809 0.2500 0.1250  2 O 2.45
La 0.2500 0.6809 0.3750  2 O 2.45
La 0.2500 0.8191 0.8750  2 O 2.45
La 0.3191 0.2500 0.6250  2 O 2.45
La 0.6809 0.7500 0.6250  2 O 2.45
La 0.7500 0.1809 0.8750  2 O 2.45
La 0.7500 0.3191 0.3750  2 O 2.45
La 0.8191 0.7500 0.1250  2 O 2.45
Se 0.0000 0.0000 0.5000  4 La 2.95
Se 0.0000 0.5000 0.7500  4 La 2.95
Se 0.5000 0.0000 0.2500  4 La 2.95
Se 0.5000 0.5000 0.0000  4 La 2.95
O 0.0000 0.0000 0.0000  4 La 2.45
O 0.0000 0.5000 0.2500  4 La 2.45
O 0.5000 0.0000 0.7500  4 La 2.45
O 0.5000 0.5000 0.5000  4 La 2.45



(8)
Computed, not measured: a relaxed LaSeO5 crystal at the PBE level of DFT.

Formation energy without anion corrections: -1.48 eV per atom
DOS(E_F): 0.8775 states/eV per atom
Raw total energy: -6.223 eV per atom
Crystal system: tetragonal
Size of the total moment: 1.34 μB/cell

Lattice parameters (Å, degrees): 7.6512 7.6512 4.3698 90.00 90.00 90.00
With the nearest neighbours (Å) after each atom.
Fractional coordinates of all 14 atoms:
La 0.2500 0.2500 0.2324  2 O 2.18-2.19
La 0.7500 0.7500 0.7676  2 O 2.18-2.19
Se 0.2500 0.7500 0.0000  4 O 1.67
Se 0.7500 0.2500 0.0000  4 O 1.67
O 0.0711 0.7500 0.7817  1 Se 1.67
O 0.2500 0.2500 0.7337  2 La 2.18-2.19
O 0.2500 0.5711 0.2183  1 Se 1.67
O 0.2500 0.9289 0.2183  1 Se 1.67
O 0.4289 0.7500 0.7817  1 Se 1.67
O 0.5711 0.2500 0.2183  1 Se 1.67
O 0.7500 0.0711 0.7817  1 Se 1.67
O 0.7500 0.4289 0.7817  1 Se 1.67
O 0.7500 0.7500 0.2663  2 La 2.18-2.19
O 0.9289 0.2500 0.2183  1 Se 1.67



> Which of these has the highest size of the total moment?

La2SeO



> Among the records above, which one has the lowest formation energy without anion corrections?

La3SeO3



> Which of these has the highest size of the total moment?

La2SeO



> What is the formula in the fifth record?

La2Se2O